# 1
NdCrC2 | GGA-PBE | relaxed

Computed properties:
SG: R-3m, No. 166
theoretical density: 7.204 Mg/m³
E_form: 352 meV per atom

a b c (Å): 5.785 5.785 5.785
angles (deg): 32.88 32.88 32.88
Sites, in units of the cell vectors:
Nd 0.000 0.000 0.000
Cr 0.500 0.500 0.500
C 0.227 0.227 0.227
C 0.773 0.773 0.773

***

# 2
NdCrC2 | GGA-PBE | relaxed

Computed properties:
SG: C2, No. 5
theoretical density: 6.750 Mg/m³
E_form: 388 meV per atom

a b c (Å): 3.132 3.132 5.948
angles (deg): 105.18 105.18 90.00
Sites, in units of the cell vectors:
Nd 0.000 0.000 0.000
Cr 0.247 0.753 0.500
C 0.345 0.351 0.698
C 0.649 0.655 0.302

***

# 3
NdCrC | GGA-PBE | relaxed

Computed properties:
energy above the lowest structure with this stoichiometry: 0.3742 eV/atom
SG: P-6m2, No. 187
theoretical density: 7.065 Mg/m³
E_form: 259 meV per atom

a b c (Å): 3.423 3.423 4.824
angles (deg): 90.00 90.00 120.00
Sites, in units of the cell vectors:
Nd 0.000 0.000 0.000
Cr 0.667 0.333 0.500
C 0.333 0.667 0.500

***

# 4
NdCrC | GGA-PBE | relaxed

Computed properties:
energy above the lowest structure with this stoichiometry: 0.0000 eV/atom
SG: P2_1/m, No. 11
theoretical density: 6.936 Mg/m³
E_form: -116 meV per atom

a b c (Å): 3.354 3.346 8.885
angles (deg): 90.00 90.07 90.00
Sites, in units of the cell vectors:
Nd 0.249 0.250 0.204
Nd 0.751 0.750 0.796
Cr 0.250 0.750 0.500
Cr 0.750 0.250 0.500
C 0.250 0.250 0.645
C 0.750 0.750 0.355

***

# 5
Nd2NpCr2C4 | GGA-PBE | relaxed

Computed properties:
SG: C2/m, No. 12
theoretical density: 8.566 Mg/m³
E_form: 14 meV per atom

a b c (Å): 6.861 6.861 6.049
angles (deg): 108.38 108.38 29.20
Sites, in units of the cell vectors:
Nd 0.134 0.134 0.038
Nd 0.866 0.866 0.962
Np 0.000 0.000 0.500
Cr 0.318 0.318 0.500
Cr 0.682 0.682 0.500
C 0.216 0.216 0.677
C 0.456 0.456 0.725
C 0.544 0.544 0.275
C 0.784 0.784 0.323

***

# 6
NdTa2CrC4 | GGA-PBE | relaxed

Computed properties:
SG: Cmcm, No. 63
theoretical density: 9.987 Mg/m³
E_form: -319 meV per atom

a b c (Å): 5.874 5.874 11.003
angles (deg): 90.00 90.00 147.93
Sites, in units of the cell vectors:
Nd 0.098 0.902 0.750
Nd 0.902 0.098 0.250
Ta 0.371 0.629 0.542
Ta 0.371 0.629 0.958
Ta 0.629 0.371 0.042
Ta 0.629 0.371 0.458
Cr 0.169 0.831 0.250
Cr 0.831 0.169 0.750
C 0.000 0.000 0.000
C 0.000 0.000 0.500
C 0.263 0.737 0.114
C 0.263 0.737 0.386
C 0.422 0.578 0.750
C 0.578 0.422 0.250
C 0.737 0.263 0.614
C 0.737 0.263 0.886

***

# 7
TbNd2Cr2C4 | GGA-PBE | relaxed

Computed properties:
SG: C2/m, No. 12
theoretical density: 7.393 Mg/m³
E_form: -87 meV per atom

a b c (Å): 6.920 6.920 6.074
angles (deg): 108.13 108.13 29.27
Sites, in units of the cell vectors:
Tb 0.000 0.000 0.000
Nd 0.134 0.134 0.542
Nd 0.866 0.866 0.458
Cr 0.319 0.319 0.999
Cr 0.681 0.681 0.001
C 0.213 0.213 0.168
C 0.446 0.446 0.229
C 0.554 0.554 0.771
C 0.787 0.787 0.832

***

# 8
Tb2NdCr2C4 | GGA-PBE | relaxed

Computed properties:
SG: C2/m, No. 12
theoretical density: 6.794 Mg/m³
E_form: -68 meV per atom

a b c (Å): 8.233 8.233 5.397
angles (deg): 96.51 96.51 24.40
Sites, in units of the cell vectors:
Tb 0.159 0.159 0.079
Tb 0.841 0.841 0.921
Nd 0.000 0.000 0.500
Cr 0.309 0.309 0.448
Cr 0.691 0.691 0.552
C 0.228 0.228 0.699
C 0.404 0.404 0.653
C 0.596 0.596 0.347
C 0.772 0.772 0.301

***

Q: The highest theoretical density belongs to which entry?
A: NdTa2CrC4